MnVP2O8F2 after structural relaxation. Source: the Alexandria database, functional PBE+U.

a = 5.1243 Å, b = 5.1884 Å, c = 7.3783 Å
α = 108.29°, β = 106.40°, γ = 93.19°
Space group P-1 (No. 2)
Symmetry-distinct sites (fractional):
Mn1 0.0000 0.0000 0.0000 (multiplicity 1)
V1 0.5000 0.5000 0.5000 (multiplicity 1)
P1 0.0822 0.3837 0.7514 (multiplicity 2)
O1 0.1504 0.1531 0.8362 (multiplicity 2)
O2 0.1581 0.6698 0.9127 (multiplicity 2)
O3 0.2297 0.6750 0.3756 (multiplicity 2)
O4 0.2508 0.3664 0.6027 (multiplicity 2)
F1 0.3778 0.1901 0.2694 (multiplicity 2)

Results
Crystal system ... triclinic
Total moment ... 3.94 μB per formula unit
E_tot ... -7.031 eV/atom